Entry 1:
# Ta2GaHW | the Alexandria database | PBE-GGA | relaxed
data_Ta2GaHW
_cell_length_a 4.1812
_cell_length_b 4.1812
_cell_length_c 3.9741
_cell_angle_alpha 90.00
_cell_angle_beta 90.00
_cell_angle_gamma 90.00
_symmetry_space_group_name_H-M 'P 4/m m m'
_symmetry_Int_Tables_number 123
_symmetry_space_group_name_Hall '-P 4 2'
loop_
_atom_site_label
_atom_site_fract_x
_atom_site_fract_y
_atom_site_fract_z
_atom_site_occupancy
Ta1 0.0000 0.5000 0.0000 1
Ga1 0.0000 0.0000 0.5000 1
H1 0.5000 0.5000 0.0000 1
W1 0.5000 0.5000 0.5000 1
# **VASP energy**: -8.6113 eV per atom
# **Crystal system**: tetragonal
# **Volume**: 13.9 Å³ per atom



Entry 2:
# TaZnGa2H | the Alexandria database | PBE-GGA | relaxed
data_TaZnGa2H
_cell_length_a 4.4816
_cell_length_b 4.4816
_cell_length_c 4.9839
_cell_angle_alpha 90.00
_cell_angle_beta 90.00
_cell_angle_gamma 90.00
_symmetry_space_group_name_H-M 'P 4/m m m'
_symmetry_Int_Tables_number 123
_symmetry_space_group_name_Hall '-P 4 2'
loop_
_atom_site_label
_atom_site_fract_x
_atom_site_fract_y
_atom_site_fract_z
_atom_site_occupancy
Ta1 0.0000 0.0000 0.0000 1
Zn1 0.0000 0.0000 0.5000 1
Ga1 0.0000 0.5000 0.5000 1
H1 0.5000 0.5000 0.0000 1
# **VASP energy**: -3.1396 eV per atom
# **Crystal system**: tetragonal
# **Volume**: 20.0 Å³ per atom



Entry 3:
# Zr2TaGaH | the Alexandria database | PBE-GGA | relaxed
data_Zr2TaGaH
_cell_length_a 4.5197
_cell_length_b 4.5197
_cell_length_c 3.9397
_cell_angle_alpha 90.00
_cell_angle_beta 90.00
_cell_angle_gamma 90.00
_symmetry_space_group_name_H-M 'P 4/m m m'
_symmetry_Int_Tables_number 123
_symmetry_space_group_name_Hall '-P 4 2'
loop_
_atom_site_label
_atom_site_fract_x
_atom_site_fract_y
_atom_site_fract_z
_atom_site_occupancy
Zr1 0.0000 0.5000 0.0000 1
Ta1 0.0000 0.0000 0.5000 1
Ga1 0.5000 0.5000 0.5000 1
H1 0.0000 0.0000 0.0000 1
# **VASP energy**: -7.3515 eV per atom
# **Crystal system**: tetragonal
# **Volume**: 16.1 Å³ per atom



Entry 4:
# Tb3GaH | the Alexandria database | PBE-GGA | relaxed
data_Tb3GaH
_cell_length_a 7.5026
_cell_length_b 3.5469
_cell_length_c 8.5796
_cell_angle_alpha 90.00
_cell_angle_beta 92.40
_cell_angle_gamma 90.00
_symmetry_space_group_name_H-M 'P 1 21/m 1'
_symmetry_Int_Tables_number 11
loop_
_symmetry_equiv_pos_as_xyz
'x,y,z'
'-x,-y,-z'
'-x,y+1/2,-z'
'x,-y+1/2,z'
loop_
_atom_site_label
_atom_site_fract_x
_atom_site_fract_y
_atom_site_fract_z
_atom_site_occupancy
Tb1 0.0672 0.2500 0.3171 1
Tb2 0.2549 0.2500 0.9545 1
Tb3 0.3519 0.7500 0.6124 1
Ga1 0.3838 0.7500 0.2319 1
H1 0.1572 0.2500 0.6922 1
# **VASP energy**: -4.3898 eV per atom
# **Crystal system**: monoclinic
# **Energy relative to the lowest polymorph listed for this composition**: 0.000 eV per atom
# **Volume**: 22.8 Å³ per atom



Entry 5:
# Tb5Ga2H | the Alexandria database | PBE-GGA | relaxed
data_Tb5Ga2H
_cell_length_a 6.8283
_cell_length_b 6.8283
_cell_length_c 8.5458
_cell_angle_alpha 90.00
_cell_angle_beta 90.00
_cell_angle_gamma 90.00
_symmetry_space_group_name_H-M 'I 4 m m'
_symmetry_Int_Tables_number 107
_symmetry_space_group_name_Hall 'I 4 -2'
loop_
_atom_site_label
_atom_site_fract_x
_atom_site_fract_y
_atom_site_fract_z
_atom_site_occupancy
Tb1 0.0000 0.0000 0.0000 1
Tb2 0.2487 0.2487 0.7442 1
Ga1 0.0000 0.5000 0.4972 1
H1 0.0000 0.0000 0.2601 1
# **VASP energy**: -4.2672 eV per atom
# **Crystal system**: tetragonal
# **Volume**: 24.9 Å³ per atom



Entry 6:
# TbGaH | the Alexandria database | PBE-GGA | relaxed
data_TbGaH
_cell_length_a 3.9821
_cell_length_b 4.1226
_cell_length_c 6.1709
_cell_angle_alpha 90.00
_cell_angle_beta 108.79
_cell_angle_gamma 90.00
_symmetry_space_group_name_H-M 'P 1 21/m 1'
_symmetry_Int_Tables_number 11
loop_
_symmetry_equiv_pos_as_xyz
'x,y,z'
'-x,-y,-z'
'-x,y+1/2,-z'
'x,-y+1/2,z'
loop_
_atom_site_label
_atom_site_fract_x
_atom_site_fract_y
_atom_site_fract_z
_atom_site_occupancy
Tb1 0.1570 0.2500 0.3136 1
Ga1 0.4382 0.2500 0.8793 1
H1 0.2458 0.7500 0.4934 1
# **VASP energy**: -4.3304 eV per atom
# **Crystal system**: monoclinic
# **Energy relative to the lowest polymorph listed for this composition**: 0.000 eV per atom
# **Volume**: 16.0 Å³ per atom



Entry 7:
# Tb3GaH | the Alexandria database | PBE-GGA | relaxed
data_Tb3GaH
_cell_length_a 4.7622
_cell_length_b 4.7622
_cell_length_c 4.7622
_cell_angle_alpha 90.00
_cell_angle_beta 90.00
_cell_angle_gamma 90.00
_symmetry_space_group_name_H-M 'P m -3 m'
_symmetry_Int_Tables_number 221
_symmetry_space_group_name_Hall '-P 4 2 3'
loop_
_atom_site_label
_atom_site_fract_x
_atom_site_fract_y
_atom_site_fract_z
_atom_site_occupancy
Tb1 0.0000 0.0000 0.5000 1
Ga1 0.5000 0.5000 0.5000 1
H1 0.0000 0.0000 0.0000 1
# **VASP energy**: -4.3806 eV per atom
# **Crystal system**: cubic
# **Energy relative to the lowest polymorph listed for this composition**: 0.009 eV per atom
# **Volume**: 21.6 Å³ per atom



Entry 8:
# Tb2GaH | the Alexandria database | PBE-GGA | relaxed
data_Tb2GaH
_cell_length_a 3.6684
_cell_length_b 6.4536
_cell_length_c 14.2032
_cell_angle_alpha 90.00
_cell_angle_beta 90.00
_cell_angle_gamma 90.00
_symmetry_space_group_name_H-M 'I m m m'
_symmetry_Int_Tables_number 71
_symmetry_space_group_name_Hall '-I 2 2'
loop_
_atom_site_label
_atom_site_fract_x
_atom_site_fract_y
_atom_site_fract_z
_atom_site_occupancy
Tb1 0.0000 0.0000 0.1965 1
Tb2 0.0000 0.2492 0.5000 1
Ga1 0.0000 0.5000 0.1384 1
H1 0.0000 0.5000 0.3934 1
# **VASP energy**: -4.4113 eV per atom
# **Crystal system**: orthorhombic
# **Energy relative to the lowest polymorph listed for this composition**: 0.000 eV per atom
# **Volume**: 21.0 Å³ per atom